A relaxed ZnTcIr2 crystal. Source: Alexandria, functional PBE.

Properties
The raw total energy comes out at -7.278 eV/atom. As for the density of states at the Fermi level: 3.5 states/eV/f.u. The calculation puts the energy of formation at 0.0628 eV/atom.

Cell lengths 5.1588, 5.1588, 5.1588 Å; angles 147.70, 127.84, 62.69 degrees
Closest atoms and distances in Å follow each position.
Atoms (fractional coordinates):
Ir  0.4872  0.4872  0.0000  2 Zn 2.54, 4 Ir 2.69, 2 Tc 2.72
Ir  0.0128  0.0128  0.0000  2 Zn 2.54, 4 Ir 2.69, 2 Tc 2.72
Tc  0.7500  0.2500  0.5000  4 Zn 2.68, 4 Ir 2.72, 2 Tc 2.87
Zn  0.2500  0.7500  0.5000  4 Ir 2.54, 4 Tc 2.68

---

A relaxed ZnTcIr3 crystal. Source: Alexandria, functional PBE.

Properties
The calculation puts the excess energy over the best structure of this formula in the dataset at 0.0 meV per atom. The raw total energy comes out at -6.010 eV/atom. As for the density of states at the Fermi level: 5.2 states/eV/f.u. The calculation puts the energy of formation at 1.6342 eV/atom.

Cell lengths 4.6999, 4.6999, 4.6999 Å; angles 90.00, 90.00, 90.00 degrees
Closest atoms and distances in Å follow each position.
Atoms (fractional coordinates):
Zn  0.5000  0.5000  0.5000  12 Ir 3.32
Ir  0.5000  0.0000  0.0000  2 Tc 2.35
Ir  0.0000  0.5000  0.0000  2 Tc 2.35
Ir  0.0000  0.0000  0.5000  2 Tc 2.35
Tc  0.0000  0.0000  0.0000  6 Ir 2.35

---

A relaxed ZnTcIr2 crystal. Source: Alexandria, functional PBE.

Properties
The raw total energy comes out at -7.458 eV/atom. As for the density of states at the Fermi level: 5.3 states/eV/f.u. The calculation puts the energy of formation at -0.1175 eV/atom.

Cell lengths 8.8131, 8.8131, 8.8131 Å; angles 18.13, 18.13, 18.13 degrees
Closest atoms and distances in Å follow each position.
Atoms (fractional coordinates):
Ir  0.9991  0.9991  0.9991  3 Tc 2.68, 3 Zn 2.71, 6 Ir 2.78
Ir  0.5009  0.5009  0.5009  3 Tc 2.68, 3 Zn 2.71, 6 Ir 2.78
Tc  0.2500  0.2500  0.2500  6 Ir 2.68, 6 Tc 2.78
Zn  0.7500  0.7500  0.7500  6 Ir 2.71, 6 Zn 2.78